No. 1
A plane-wave DFT calculation with PBE was carried out for an optimized crystal structure of Ac2TmBiO6.

```
Ac2TmBiO6
1.0
5.653 0.000 0.000
0.000 5.722 0.000
0.000 0.000 5.722
Ac Tm Bi O
2 1 1 6
Cartesian
5.635 2.861 0.000
5.635 0.000 2.861
3.267 0.000 0.000
3.186 2.861 2.861
4.177 1.396 1.396
4.177 1.396 4.325
0.876 2.861 2.861
1.140 0.000 0.000
4.177 4.325 4.325
4.177 4.325 1.396
```

Values from the calculation:
ΔE_f (raw) in meV per atom: -2750

=====

No. 2
A plane-wave DFT calculation with PBE was carried out for an optimized crystal structure of HoNb2N4.

```
HoNb2N4
1.0
-1.220 -1.239 -2.605
0.383 -3.965 3.590
-9.553 2.188 3.435
Ho Nb N
2 4 8
Cartesian
-7.827 -0.042 1.804
-2.563 -2.974 2.615
-4.183 -0.242 2.074
-9.679 -1.980 3.593
-0.711 -1.037 0.826
-6.208 -2.775 2.345
-1.834 -2.838 0.326
-4.408 -2.248 1.251
-8.557 -0.179 4.094
-5.982 -0.769 3.168
-7.977 -3.064 3.312
-2.413 0.047 1.108
-0.610 -0.619 -1.302
-5.387 0.474 0.415
```

Values from the calculation:
ΔE_f (raw) in meV per atom: -1187

=====

No. 3
A plane-wave DFT calculation with PBE was carried out for an optimized crystal structure of Na2TlSn8.

```
Na2TlSn8
1.0
5.612 0.048 -1.543
-0.749 6.029 -2.826
-0.511 0.526 9.279
Na Tl Sn
2 1 8
Cartesian
3.114 4.305 0.337
1.238 2.297 4.572
2.806 0.024 -0.772
0.468 2.367 1.300
4.500 0.958 5.089
3.894 2.635 -2.378
3.598 1.494 2.153
0.754 5.109 2.756
0.969 3.441 -1.991
-0.148 5.645 -0.180
3.884 4.236 3.609
```

Values from the calculation:
E_form in eV/atom: -0.014

=====

No. 4
A plane-wave DFT calculation with PBE was carried out for an optimized crystal structure of CaAlMo2.

```
CaAlMo2
1.0
4.681 -0.005 0.003
3.860 2.649 0.003
0.276 0.085 6.253
Mo Ca Al
2 1 1
Cartesian
8.519 2.637 0.387
2.120 0.656 1.542
6.676 2.066 4.691
4.452 1.378 2.773
```

Values from the calculation:
E_form in eV/atom: 0.363

=====

No. 5
A plane-wave DFT calculation with PBE was carried out for an optimized crystal structure of MnFeIr2W.

```
MnFeIr2W
1.0
4.772 0.000 0.000
0.000 4.436 0.000
0.000 0.000 4.772
Mn Ir Fe W
1 2 1 1
Cartesian
2.386 2.218 2.386
0.000 0.000 2.386
2.386 0.000 0.000
0.000 2.218 0.000
0.000 0.000 0.000
```

Values from the calculation:
E_form in eV/atom: 1.504

=====

No. 6
A plane-wave DFT calculation with PBE was carried out for an optimized crystal structure of CuPd3Pt2.

```
CuPd3Pt2
1.0
-1.290 -0.410 2.435
2.295 -1.211 1.012
3.768 10.258 3.724
Cu Pd Pt
1 3 2
Cartesian
2.387 4.319 3.585
0.000 0.000 0.000
2.462 6.703 2.433
1.306 3.555 1.291
3.622 7.682 4.806
1.152 0.956 2.365
```

Values from the calculation:
Relative energy among the computed polymorphs in meV per atom: 0
E_form in eV/atom: -0.061

=====

No. 7
A plane-wave DFT calculation with PBE was carried out for an optimized crystal structure of CeB6W2.

```
CeB6W2
1.0
-0.449 -1.092 -2.930
5.257 -0.549 -2.304
1.193 -5.637 0.215
Ce B W
1 6 2
Cartesian
0.000 0.000 0.000
0.687 -3.873 -2.068
5.314 -3.405 -2.951
3.362 -5.848 -1.741
3.676 -2.793 -2.928
2.325 -4.485 -2.091
2.639 -1.430 -3.277
3.843 -4.973 -3.844
2.157 -2.305 -1.174
```

Values from the calculation:
E_form in eV/atom: -0.506

=====

No. 8
A plane-wave DFT calculation with PBE was carried out for an optimized crystal structure of MnBi2BRh.

```
MnBi2BRh
1.0
5.397 0.000 0.000
0.000 3.881 0.000
0.000 0.000 5.397
B Mn Rh Bi
1 1 1 2
Cartesian
0.000 1.940 0.000
2.698 1.940 2.698
0.000 0.000 0.000
0.000 0.000 2.698
2.698 0.000 0.000
```

Values from the calculation:
E_form in eV/atom: 1.092

=====

Number 1: energy -0.2713 hartree per atom, M_tot 0.00 μB/f.u.. Number 2: energy -0.3482 hartree per atom, M_tot 0.00 μB/f.u.. Number 3: energy -0.1242 hartree per atom, M_tot 0.00 μB/f.u.. Number 4: energy -0.2384 hartree per atom, M_tot 0.00 μB/f.u.. Number 5: energy -0.2998 hartree per atom, M_tot 5.96 μB/f.u.. Number 6: energy -0.1968 hartree per atom, M_tot 0.00 μB/f.u.. Number 7: energy -0.3122 hartree per atom, M_tot 0.00 μB/f.u.. Number 8: energy -0.1874 hartree per atom, M_tot 0.03 μB/f.u..